(1)
Material: LiHfCdAu
Method: DFT, PBE
State: relaxed

The calculation puts the energy above the most stable polymorph in this dataset at 49 meV/atom.

It has space group F-43m (No. 216), with a = 6.6468 Å, b = 6.6468 Å, c = 6.6468 Å, α = 90.00°, β = 90.00° and γ = 90.00°. The inequivalent atoms are Li at (0.0000, 0.0000, 0.0000), Hf at (0.0000, 0.0000, 0.5000), Cd at (0.2500, 0.2500, 0.2500) and Au at (0.2500, 0.2500, 0.7500).

(2)
Material: LuTl
Method: DFT, PBE
State: relaxed

It has space group Fm-3m (No. 225), with a = 6.1388 Å, b = 6.1388 Å, c = 6.1388 Å, α = 90.00°, β = 90.00° and γ = 90.00°. The inequivalent atoms are Lu at (0.0000, 0.0000, 0.0000) and Tl at (0.0000, 0.0000, 0.5000).

Result set for total energy: -17.1 -6.8 eV per formula unit, one per record in the order listed.